(1)
Material: CaScW2
Method: DFT, GGA-PBE
State: optimized geometry

Calculated values
Its crystal system is cubic. As for the offset from the most stable computed form: 853.4 meV/atom. The total energy is -29.5 eV/cell. For the total magnetic moment, the calculation gives 0.00 μB per atom. Its symmetry is Fm-3m (225).

a b c (Å): 4.8202 4.8202 4.8202
angles (deg): 60.00 60.00 60.00
Fractional positions:
Sc 0.5000 0.5000 0.5000
W 0.2500 0.2500 0.2500
W 0.7500 0.7500 0.7500
Ca 0.0000 0.0000 0.0000


(2)
Material: Ca2ScW
Method: DFT, GGA-PBE
State: optimized geometry

Calculated values
Its crystal system is orthorhombic. As for the offset from the most stable computed form: 46.3 meV/atom. The total energy is -21.1 eV/cell. For the total magnetic moment, the calculation gives 0.00 μB per atom. Its symmetry is Cmm2 (35).

a b c (Å): 3.1492 3.1492 10.7179
angles (deg): 90.00 90.00 100.62
Fractional positions:
Ca 0.5000 0.5000 0.2656
Ca 0.0000 0.0000 0.9527
Sc 0.0000 0.0000 0.5499
W 0.5000 0.5000 0.7318